# AcNdHg14

An optimized crystal structure of AcNdHg14 (PBE, Alexandria).

Geometry as POSCAR:
```
AcNdHg14
1.0
-6.201 1.677 -2.590
-1.732 -6.703 -0.201
-3.242 0.594 8.147
Ac Nd Hg
1 1 14
direct
0.625 0.375 0.000
0.124 0.876 0.000
0.625 0.375 0.500
0.125 0.875 0.500
0.125 0.375 0.000
0.126 0.375 0.500
0.625 0.875 0.000
0.625 0.874 0.500
0.370 0.120 0.739
0.370 0.120 0.261
0.880 0.630 0.739
0.880 0.630 0.261
0.880 0.120 0.738
0.880 0.120 0.262
0.370 0.630 0.739
0.370 0.630 0.261
```

## Properties
The calculation puts the final energy at -1.013 eV per atom. The formation energy is -194 meV per atom.